[1]
Material: HfFe2CuH
Method: DFT, PBE
State: relaxed

Calculated values
The energy above the most stable polymorph in this dataset comes out at 0 meV/atom.

Lattice parameters (Å, degrees): 3.7482 3.7482 4.0294 90.00 90.00 90.00
Last column: nearest neighbours and their distance in Å.
Fractional coordinates of all 5 atoms:
Hf 0.0000 0.0000 0.0000  2 H 2.01
Fe 0.0000 0.5000 0.5000  2 H 1.87
Fe 0.5000 0.0000 0.5000  2 H 1.87
Cu 0.5000 0.5000 0.0000  4 Hf 2.65, 8 Fe 2.75
H 0.0000 0.0000 0.5000  4 Fe 1.87, 2 Hf 2.01

[2]
Material: Ho4CdAgPd2
Method: DFT, PBE
State: relaxed

Calculated values
Its formation energy is -590 meV per atom.

Lattice parameters (Å, degrees): 8.7670 8.7670 8.7670 33.53 33.53 33.53
Last column: nearest neighbours and their distance in Å.
Fractional coordinates of all 8 atoms:
Ho 0.1229 0.1229 0.1229  1 Ag 3.05, 4 Pd 3.06-3.08, 3 Cd 3.12
Ho 0.3731 0.3731 0.3731  3 Ag 3.08, 4 Pd 3.12-3.14, 1 Cd 3.15
Ho 0.6269 0.6269 0.6269  3 Ag 3.08, 4 Pd 3.12-3.14, 1 Cd 3.15
Ho 0.8771 0.8771 0.8771  1 Ag 3.05, 4 Pd 3.06-3.08, 3 Cd 3.12
Cd 0.5000 0.5000 0.5000  8 Ho 3.12-3.15
Ag 0.0000 0.0000 0.0000  8 Ho 3.05-3.08
Pd 0.2471 0.2471 0.2471  8 Ho 3.06-3.14
Pd 0.7529 0.7529 0.7529  8 Ho 3.06-3.14

[3]
Material: Tb2Y2Zn3
Method: DFT, PBE
State: relaxed

Calculated values
Its formation energy is -204 meV per atom.

Lattice parameters (Å, degrees): 8.6864 5.0317 8.5962 90.00 109.60 90.00
Last column: nearest neighbours and their distance in Å.
Fractional coordinates of all 14 atoms:
Tb 0.1277 0.0000 0.3822  5 Zn 3.04-3.12
Tb 0.3723 0.5000 0.6178  5 Zn 3.04-3.12
Tb 0.6277 0.5000 0.3822  5 Zn 3.04-3.12
Tb 0.8723 0.0000 0.6178  5 Zn 3.04-3.12
Y 0.1212 0.5000 0.8637  7 Zn 3.02-3.10
Y 0.3788 0.0000 0.1363  7 Zn 3.02-3.10
Y 0.6212 0.0000 0.8637  7 Zn 3.02-3.10
Y 0.8788 0.5000 0.1363  7 Zn 3.02-3.10
Zn 0.0000 0.0000 0.0000  2 Tb 3.10, 6 Y 3.10
Zn 0.2487 0.5000 0.2427  4 Y 3.02-3.07, 4 Tb 3.04-3.12
Zn 0.2513 0.0000 0.7573  4 Y 3.02-3.07, 4 Tb 3.04-3.12
Zn 0.5000 0.5000 0.0000  2 Tb 3.10, 6 Y 3.10
Zn 0.7487 0.0000 0.2427  4 Y 3.02-3.07, 4 Tb 3.04-3.12
Zn 0.7513 0.5000 0.7573  4 Y 3.02-3.07, 4 Tb 3.04-3.12

[4]
Material: Er3Be2Co4
Method: DFT, PBE
State: relaxed

Calculated values
Its formation energy is -150 meV per atom.

Lattice parameters (Å, degrees): 3.8268 3.8268 23.2440 90.00 90.00 120.00
Last column: nearest neighbours and their distance in Å.
Fractional coordinates of all 18 atoms:
Er 0.0000 0.0000 0.0839  3 Be 2.92, 9 Co 2.92-2.95
Er 0.0000 0.0000 0.2481  9 Co 2.92-2.95, 3 Be 2.92
Er 0.0000 0.0000 0.4150  6 Co 2.93, 6 Be 2.96
Er 0.0000 0.0000 0.5850  6 Co 2.93, 6 Be 2.96
Er 0.0000 0.0000 0.7519  9 Co 2.92-2.95, 3 Be 2.92
Er 0.0000 0.0000 0.9161  3 Be 2.92, 9 Co 2.92-2.95
Be 0.3333 0.6667 0.5000  3 Be 2.21
Be 0.6667 0.3333 0.1658  3 Co 2.21
Be 0.6667 0.3333 0.5000  3 Be 2.21
Be 0.6667 0.3333 0.8342  3 Co 2.21
Co 0.3333 0.6667 0.0000  3 Co 2.21
Co 0.3333 0.6667 0.1661  3 Be 2.21
Co 0.3333 0.6667 0.3320  3 Co 2.21
Co 0.3333 0.6667 0.6680  3 Co 2.21
Co 0.3333 0.6667 0.8339  3 Be 2.21
Co 0.6667 0.3333 0.0000  3 Co 2.21
Co 0.6667 0.3333 0.3325  3 Co 2.21
Co 0.6667 0.3333 0.6675  3 Co 2.21

[5]
Material: Tb2Dy4YSc
Method: DFT, PBE
State: relaxed

Calculated values
Its formation energy is 31 meV per atom.

Lattice parameters (Å, degrees): 4.9794 4.9794 9.9085 90.00 90.00 90.00
Last column: nearest neighbours and their distance in Å.
Fractional coordinates of all 8 atoms:
Tb 0.0000 0.0000 0.0000  8 Dy 3.47, 4 Sc 3.52
Tb 0.5000 0.5000 0.5000  4 Y 3.52, 8 Dy 3.55
Dy 0.0000 0.5000 0.2442  4 Tb 3.47-3.55, 2 Sc 3.47, 4 Dy 3.52, 2 Y 3.55
Dy 0.0000 0.5000 0.7558  4 Tb 3.47-3.55, 2 Sc 3.47, 4 Dy 3.52, 2 Y 3.55
Dy 0.5000 0.0000 0.2442  4 Tb 3.47-3.55, 2 Sc 3.47, 4 Dy 3.52, 2 Y 3.55
Dy 0.5000 0.0000 0.7558  4 Tb 3.47-3.55, 2 Sc 3.47, 4 Dy 3.52, 2 Y 3.55
Y 0.0000 0.0000 0.5000  4 Tb 3.52, 8 Dy 3.55
Sc 0.5000 0.5000 0.0000  8 Dy 3.47, 4 Tb 3.52

[6]
Material: Pm11Cd9Ru4
Method: DFT, PBE
State: relaxed

Calculated values
Its formation energy is -312 meV per atom.

Lattice parameters (Å, degrees): 13.1647 13.1647 3.8500 90.00 90.00 112.61
Last column: nearest neighbours and their distance in Å.
Fractional coordinates of all 24 atoms:
Pm 0.0000 0.0000 0.0000  8 Cd 3.27, 2 Pm 3.54
Pm 0.0852 0.4176 0.0000  2 Ru 2.83
Pm 0.1614 0.8386 0.0000  8 Cd 3.30-3.49, 3 Pm 3.54-3.67
Pm 0.3094 0.3094 0.0000  4 Ru 2.98
Pm 0.3728 0.6272 0.0000  4 Ru 2.94
Pm 0.4176 0.0852 0.0000  2 Ru 2.83
Pm 0.5824 0.9148 0.0000  2 Ru 2.83
Pm 0.6272 0.3728 0.0000  4 Ru 2.94
Pm 0.6906 0.6906 0.0000  4 Ru 2.98
Pm 0.8386 0.1614 0.0000  8 Cd 3.30-3.49, 3 Pm 3.54-3.67
Pm 0.9148 0.5824 0.0000  2 Ru 2.83
Cd 0.0749 0.2169 0.5000  1 Ru 3.09, 1 Cd 3.11, 6 Pm 3.23-3.44
Cd 0.1572 0.6336 0.5000  1 Cd 3.06, 1 Ru 3.09, 4 Pm 3.26-3.30
Cd 0.2169 0.0749 0.5000  1 Ru 3.09, 1 Cd 3.11, 6 Pm 3.23-3.44
Cd 0.3664 0.8428 0.5000  1 Cd 3.06, 1 Ru 3.09, 4 Pm 3.26-3.30
Cd 0.5000 0.5000 0.5000  4 Ru 3.07, 8 Pm 3.39
Cd 0.6336 0.1572 0.5000  1 Cd 3.06, 1 Ru 3.09, 4 Pm 3.26-3.30
Cd 0.7831 0.9251 0.5000  1 Ru 3.09, 1 Cd 3.11, 6 Pm 3.23-3.44
Cd 0.8428 0.3664 0.5000  1 Cd 3.06, 1 Ru 3.09, 4 Pm 3.26-3.30
Cd 0.9251 0.7831 0.5000  1 Ru 3.09, 1 Cd 3.11, 6 Pm 3.23-3.44
Ru 0.2532 0.4531 0.5000  6 Pm 2.83-2.98, 3 Cd 3.07-3.09
Ru 0.4531 0.2532 0.5000  6 Pm 2.83-2.98, 3 Cd 3.07-3.09
Ru 0.5469 0.7468 0.5000  6 Pm 2.83-2.98, 3 Cd 3.07-3.09
Ru 0.7468 0.5469 0.5000  6 Pm 2.83-2.98, 3 Cd 3.07-3.09

[7]
Material: CaSmP2S8
Method: DFT, PBE
State: relaxed

Calculated values
Its formation energy (no corrections) is -726 meV/atom.

Lattice parameters (Å, degrees): 5.9785 5.9785 9.2436 90.00 90.00 120.00
Last column: nearest neighbours and their distance in Å.
Fractional coordinates of all 12 atoms:
Ca 0.0000 0.0000 0.0000  12 S 3.39-3.45
Sm 0.0000 0.0000 0.5000  6 S 2.80
P 0.3333 0.6667 0.7692  4 S 2.04-2.05
P 0.6667 0.3333 0.2308  4 S 2.04-2.05
S 0.0012 0.6587 0.2923  1 P 2.05
S 0.3333 0.6667 0.9894  1 P 2.04
S 0.3413 0.3425 0.2923  1 P 2.05
S 0.3425 0.0012 0.7077  1 P 2.05
S 0.6575 0.9988 0.2923  1 P 2.05
S 0.6587 0.6575 0.7077  1 P 2.05
S 0.6667 0.3333 0.0106  1 P 2.04
S 0.9988 0.3413 0.7077  1 P 2.05

[8]
Material: KSrCdSe2
Method: DFT, PBE
State: relaxed

Calculated values
Its formation energy (no corrections) is -967 meV/atom.

Lattice parameters (Å, degrees): 7.7011 5.1111 8.5601 90.00 100.78 90.00
Last column: nearest neighbours and their distance in Å.
Fractional coordinates of all 10 atoms:
K 0.0000 0.0156 0.2500  4 Cd 3.27-3.39, 4 Se 3.28-3.37
K 0.0000 0.9844 0.7500  4 Cd 3.27-3.39, 4 Se 3.28-3.37
Sr 0.5000 0.3126 0.7500  6 Se 3.17-3.38
Sr 0.5000 0.6874 0.2500  6 Se 3.17-3.38
Cd 0.0000 0.5000 0.0000  2 Se 2.78
Cd 0.0000 0.5000 0.5000  2 Se 2.78
Se 0.3069 0.2026 0.0391  1 Cd 2.78
Se 0.3069 0.7974 0.5391  1 Cd 2.78
Se 0.6931 0.2026 0.4609  1 Cd 2.78
Se 0.6931 0.7974 0.9609  1 Cd 2.78

[9]
Material: Pm2NdTc
Method: DFT, PBE
State: relaxed

Calculated values
The energy above the most stable polymorph in this dataset comes out at 0 meV/atom. Its formation energy is 8 meV per atom.

Lattice parameters (Å, degrees): 7.5047 9.5600 6.5061 90.00 90.00 90.00
Last column: nearest neighbours and their distance in Å.
Fractional coordinates of all 16 atoms:
Pm 0.1762 0.0657 0.1655  2 Tc 2.89-3.06
Pm 0.1762 0.4343 0.1655  2 Tc 2.89-3.06
Pm 0.3238 0.5657 0.6655  2 Tc 2.89-3.06
Pm 0.3238 0.9343 0.6655  2 Tc 2.89-3.06
Pm 0.6762 0.0657 0.3345  2 Tc 2.89-3.06
Pm 0.6762 0.4343 0.3345  2 Tc 2.89-3.06
Pm 0.8238 0.5657 0.8345  2 Tc 2.89-3.06
Pm 0.8238 0.9343 0.8345  2 Tc 2.89-3.06
Nd 0.0467 0.2500 0.6332  2 Tc 2.81-2.89
Nd 0.4533 0.7500 0.1332  2 Tc 2.81-2.89
Nd 0.5467 0.2500 0.8668  2 Tc 2.81-2.89
Nd 0.9533 0.7500 0.3668  2 Tc 2.81-2.89
Tc 0.1098 0.7500 0.9602  2 Nd 2.81-2.89, 4 Pm 2.89-3.06
Tc 0.3902 0.2500 0.4602  2 Nd 2.81-2.89, 4 Pm 2.89-3.06
Tc 0.6098 0.7500 0.5398  2 Nd 2.81-2.89, 4 Pm 2.89-3.06
Tc 0.8902 0.2500 0.0398  2 Nd 2.81-2.89, 4 Pm 2.89-3.06

[10]
Material: Al4Cu8Si
Method: DFT, PBE
State: relaxed

Calculated values
Its formation energy (no corrections) is -93 meV/atom.

Lattice parameters (Å, degrees): 2.8816 4.1354 14.3211 90.00 90.00 90.00
Last column: nearest neighbours and their distance in Å.
Fractional coordinates of all 13 atoms:
Al 0.0000 0.0000 0.0000  8 Cu 2.46-2.52
Al 0.0000 0.5000 0.1565  10 Cu 2.53-2.78
Al 0.5000 0.0000 0.4256  10 Cu 2.52-2.64
Al 0.5000 0.5000 0.6268  6 Cu 2.64-2.72, 2 Al 2.88, 4 Si 2.93
Cu 0.0000 0.0000 0.2809  6 Cu 2.47-2.56, 4 Al 2.52-2.73
Cu 0.0000 0.0000 0.5713  1 Si 2.28, 2 Al 2.54
Cu 0.0000 0.5000 0.4656  4 Cu 2.56-2.65, 6 Al 2.58-2.72
Cu 0.0000 0.5000 0.8284  2 Si 2.50, 6 Cu 2.56-2.73
Cu 0.5000 0.0000 0.1405  2 Cu 2.47, 6 Al 2.47-2.53
Cu 0.5000 0.0000 0.8612  2 Si 2.36, 2 Al 2.46, 4 Cu 2.56
Cu 0.5000 0.5000 0.3107  6 Cu 2.56-2.65, 4 Al 2.64
Cu 0.5000 0.5000 0.9907  6 Al 2.52-2.78, 4 Cu 2.73-2.78
Si 0.0000 0.0000 0.7307  5 Cu 2.28-2.50

no.,DOS(E_F) (states/eV per atom),VASP energy (Ry/atom)
1,0.6005,-0.508
2,0.5260,-0.342
3,1.3256,-0.288
4,0.8255,-0.416
5,1.4371,-0.369
6,0.7879,-0.322
7,1.0216,-0.363
8,0.2740,-0.228
9,0.8720,-0.452
10,0.2345,-0.307